Yb3Hf | the Alexandria database | GGA-PBE | optimized geometry; formation energy = 0.201 eV per atom; E_tot = -13.73 eV for the cell shown
1.0
5.972 -0.001 0.000
1.963 5.640 0.000
-3.967 -2.819 3.461
Yb Hf
3 1
direct
0.750 0.250 0.500 Yb
0.250 0.750 0.500 Yb
0.500 0.500 0.000 Yb
0.000 0.000 0.000 Hf

=====

CsHCl2F8 | the Alexandria database | GGA-PBE | optimized geometry; E_tot = -34.18 eV for the cell shown
1.0
-2.720 3.728 3.723
-6.051 -0.619 0.919
0.357 -2.210 7.195
Cs H Cl F
1 1 2 8
direct
0.500 0.500 0.500 Cs
0.000 0.000 0.000 H
0.325 0.230 0.121 Cl
0.675 0.770 0.879 Cl
0.786 0.808 0.621 F
0.582 0.708 0.128 F
0.214 0.192 0.379 F
0.418 0.292 0.872 F
0.660 0.203 0.111 F
0.340 0.797 0.889 F
0.026 0.203 0.111 F
0.974 0.797 0.889 F

=====

Y2Ti2W | the Alexandria database | GGA-PBE | optimized geometry; formation energy = 0.350 eV per atom; E_tot = -79.85 eV for the cell shown
1.0
6.646 0.000 0.000
0.000 6.646 0.000
0.000 0.000 5.136
Y W Ti
4 2 4
direct
0.176 0.676 0.500 Y
0.676 0.824 0.500 Y
0.824 0.324 0.500 Y
0.324 0.176 0.500 Y
0.000 0.000 0.000 W
0.500 0.500 0.000 W
0.353 0.853 0.000 Ti
0.853 0.647 0.000 Ti
0.647 0.147 0.000 Ti
0.147 0.353 0.000 Ti